A plane-wave DFT calculation with PBE was carried out for a relaxed structure of Be2TcMo.

It has space group Cmm2 (No. 35), with a = 3.497 Å, b = 4.082 Å, c = 6.640 Å, α = 90.00°, β = 90.00° and γ = 90.00°. The asymmetric unit holds Be at (0.000, 0.000, 0.000), Be at (0.000, 0.500, 0.171), Tc at (0.000, 0.500, 0.760) and Mo at (0.000, 0.000, 0.428).

The formation energy comes out at 0.0991 eV/atom. The value obtained for the total magnetic moment is 0.001 μB/cell. Its calculated total energy is -7.0633 eV/atom.

A plane-wave DFT calculation with PBE was carried out for a relaxed structure of Be2TcMo.

It has space group I-4m2 (No. 119), with a = 3.534 Å, b = 3.534 Å, c = 7.723 Å, α = 90.00°, β = 90.00° and γ = 90.00°. The asymmetric unit holds Be at (0.000, 0.000, 0.000), Be at (0.000, 0.500, 0.250), Tc at (0.000, 0.000, 0.500) and Mo at (0.000, 0.500, 0.750).

The formation energy comes out at -0.0081 eV/atom. The value obtained for the total magnetic moment is 0.000 μB/cell. Its calculated total energy is -7.1705 eV/atom.

A plane-wave DFT calculation with PBE was carried out for a relaxed structure of Be2TcMo.

It has space group Cmmm (No. 65), with a = 5.081 Å, b = 6.049 Å, c = 3.073 Å, α = 90.00°, β = 90.00° and γ = 90.00°. The asymmetric unit holds Be at (0.250, 0.250, 0.000), Tc at (0.000, 0.000, 0.500) and Mo at (0.000, 0.500, 0.500).

The formation energy comes out at 0.0478 eV/atom. The value obtained for the total magnetic moment is 0.000 μB/cell. Its calculated total energy is -7.1145 eV/atom.

A plane-wave DFT calculation with PBE was carried out for a relaxed structure of Be2TcMo.

It has space group Immm (No. 71), with a = 3.340 Å, b = 4.098 Å, c = 7.000 Å, α = 90.00°, β = 90.00° and γ = 90.00°. The asymmetric unit holds Be at (0.000, 0.000, 0.249), Tc at (0.000, 0.500, 0.500) and Mo at (0.000, 0.500, 0.000).

The formation energy comes out at 0.0645 eV/atom. The value obtained for the total magnetic moment is 0.000 μB/cell. Its calculated total energy is -7.0979 eV/atom.